1.
Density functional theory data (GGA-PBE) for MgBeCu2Mo after structural relaxation.

a = 4.6780 Å, b = 4.3567 Å, c = 4.6780 Å
α = 90.00°, β = 90.00°, γ = 90.00°
Sites, in units of the cell vectors:
Cu 0.0000 0.0000 0.5000
Cu 0.5000 0.0000 0.0000
Be 0.0000 0.5000 0.0000
Mg 0.5000 0.5000 0.5000
Mo 0.0000 0.0000 0.0000

## Properties
The calculation puts the volume at 19.07 Å³/atom. For the density of states at the Fermi level, the calculation gives 5.6 states/eV per cell. The formation energy comes out at 1.17 eV per atom. Its space-group type is No. 123.

---

2.
Density functional theory data (GGA-PBE) for ScAl2Ir after structural relaxation.

a = 8.9933 Å, b = 8.9933 Å, c = 8.9933 Å
α = 19.24°, β = 19.24°, γ = 19.24°
Sites, in units of the cell vectors:
Ir 0.2500 0.2500 0.2500
Al 0.9896 0.9896 0.9896
Al 0.5104 0.5104 0.5104
Sc 0.7500 0.7500 0.7500

## Properties
The calculation puts the volume at 17.26 Å³/atom. For the density of states at the Fermi level, the calculation gives 3.3 states/eV per cell. The formation energy comes out at -0.33 eV per atom. Its space-group type is No. 166.

---

3.
Density functional theory data (GGA-PBE) for SiOs2Ru2 after structural relaxation.

a = 7.4576 Å, b = 7.4576 Å, c = 2.7388 Å
α = 90.00°, β = 90.00°, γ = 90.00°
Sites, in units of the cell vectors:
Ru 0.6254 0.1254 0.0000
Ru 0.1254 0.3746 0.0000
Ru 0.3746 0.8746 0.0000
Ru 0.8746 0.6254 0.0000
Si 0.5000 0.5000 0.0000
Si 0.0000 0.0000 0.0000
Os 0.1698 0.6698 0.5000
Os 0.3302 0.1698 0.5000
Os 0.8302 0.3302 0.5000
Os 0.6698 0.8302 0.5000

## Properties
The calculation puts the volume at 15.23 Å³/atom. The formation energy from raw total energies is 521 meV/atom. For the density of states at the Fermi level, the calculation gives 7.7 states/eV per cell. The polymorph energy (0 for the lowest one) comes out at 0 meV per atom. Its space-group type is No. 127.

---

4.
Density functional theory data (GGA-PBE) for Sr3Ac2TmTe6 after structural relaxation.

a = 8.0357 Å, b = 8.0357 Å, c = 8.1266 Å
α = 99.55°, β = 99.55°, γ = 119.92°
Sites, in units of the cell vectors:
Ac 0.3349 0.6651 0.0000
Ac 0.6651 0.3349 0.0000
Te 0.3949 0.0800 0.2423
Te 0.2307 0.2307 0.7532
Te 0.6051 0.9200 0.7577
Te 0.0800 0.3949 0.2423
Te 0.9200 0.6051 0.7577
Te 0.7693 0.7693 0.2468
Sr 0.1732 0.8268 0.5000
Sr 0.5000 0.5000 0.5000
Sr 0.8268 0.1732 0.5000
Tm 0.0000 0.0000 0.0000

## Properties
The calculation puts the volume at 35.76 Å³/atom. The formation energy from raw total energies is -1528 meV/atom. For the density of states at the Fermi level, the calculation gives 5.2 states/eV per cell. Its space-group type is No. 12.